[1]
This record from Alexandria describes a geometry-optimized CeSi3Rh2 structure. The functional is GGA-PBE.

For the energy above the most stable polymorph in this dataset, the calculation gives 0.264 eV per atom. The space group is Fd-3m, No. 227.

Lattice parameters (Å, degrees): 8.5386 8.5386 8.5386 60.00 60.00 60.00
Positions (direct):
Ce 0.0000 0.0000 0.0000
Ce 0.0000 0.5000 0.0000
Ce 0.5000 0.0000 0.0000
Ce 0.0000 0.0000 0.5000
Si 0.4131 0.4131 0.8369
Si 0.8369 0.8369 0.4131
Si 0.8369 0.4131 0.4131
Si 0.4131 0.8369 0.8369
Si 0.4131 0.8369 0.4131
Si 0.8369 0.4131 0.8369
Si 0.5869 0.1631 0.1631
Si 0.1631 0.5869 0.5869
Si 0.1631 0.1631 0.5869
Si 0.5869 0.5869 0.1631
Si 0.5869 0.1631 0.5869
Si 0.1631 0.5869 0.1631
Rh 0.2504 0.2504 0.2504
Rh 0.2504 0.7489 0.2504
Rh 0.7489 0.2504 0.2504
Rh 0.2504 0.2504 0.7489
Rh 0.7496 0.2511 0.7496
Rh 0.7496 0.7496 0.7496
Rh 0.2511 0.7496 0.7496
Rh 0.7496 0.7496 0.2511


[2]
This record from Alexandria describes a geometry-optimized CeSmSiRh structure. The functional is GGA-PBE.

The space group is Amm2, No. 38.

Lattice parameters (Å, degrees): 4.1182 4.0616 5.8320 90.00 110.68 90.00
Positions (direct):
Ce 0.8631 0.5000 0.7262
Sm 0.1439 0.0000 0.2878
Si 0.5714 0.5000 0.1428
Rh 0.4215 0.0000 0.8431


[3]
This record from Alexandria describes a geometry-optimized Ce2SiSnRh6 structure. The functional is GGA-PBE.

The space group is P-1, No. 2.

Lattice parameters (Å, degrees): 5.7218 8.0024 7.9998 41.98 68.79 89.88
Positions (direct):
Ce 0.7252 0.2749 0.5487
Ce 0.2748 0.7251 0.4512
Si 0.0000 0.0000 0.0000
Sn 0.5000 0.5000 0.0000
Rh 0.2422 0.2786 0.5137
Rh 0.7234 0.7583 0.0331
Rh 0.2435 0.7581 0.0336
Rh 0.7565 0.2419 0.9664
Rh 0.2766 0.2417 0.9669
Rh 0.7578 0.7214 0.4863


[4]
This record from Alexandria describes a geometry-optimized CeSi2SnRh5 structure. The functional is GGA-PBE.

The space group is P4/mmm, No. 123.

Lattice parameters (Å, degrees): 4.0845 4.0845 10.2281 90.00 90.00 90.00
Positions (direct):
Ce 0.0000 0.0000 0.5000
Si 0.5000 0.5000 0.2739
Si 0.5000 0.5000 0.7261
Sn 0.0000 0.0000 0.0000
Rh 0.0000 0.5000 0.1671
Rh 0.5000 0.0000 0.1671
Rh 0.0000 0.5000 0.8329
Rh 0.5000 0.0000 0.8329
Rh 0.5000 0.5000 0.5000


[5]
This record from Alexandria describes a geometry-optimized Ce2Si3SnRh4 structure. The functional is GGA-PBE.

The space group is P-4m2, No. 115.

Lattice parameters (Å, degrees): 4.1813 4.1813 10.3353 90.00 90.00 90.00
Positions (direct):
Ce 0.5000 0.0000 0.2453
Ce 0.0000 0.5000 0.7547
Si 0.0000 0.0000 0.5000
Si 0.5000 0.0000 0.8780
Si 0.0000 0.5000 0.1220
Sn 0.5000 0.5000 0.5000
Rh 0.5000 0.5000 0.0000
Rh 0.0000 0.0000 0.0000
Rh 0.5000 0.0000 0.6489
Rh 0.0000 0.5000 0.3511


[6]
This record from Alexandria describes a geometry-optimized CeTh2Si3Rh12 structure. The functional is GGA-PBE.

The space group is R-3m, No. 166.

Lattice parameters (Å, degrees): 6.7985 6.7985 6.7985 83.60 83.60 83.60
Positions (direct):
Ce 0.0000 0.0000 0.0000
Th 0.6421 0.6421 0.6421
Th 0.3579 0.3579 0.3579
Si 0.5000 0.0000 0.0000
Si 0.0000 0.5000 0.0000
Si 0.0000 0.0000 0.5000
Rh 0.3729 0.3729 0.9098
Rh 0.8164 0.8164 0.3272
Rh 0.3272 0.8164 0.8164
Rh 0.9098 0.3729 0.3729
Rh 0.8164 0.3272 0.8164
Rh 0.3729 0.9098 0.3729
Rh 0.6271 0.6271 0.0902
Rh 0.1836 0.1836 0.6728
Rh 0.6728 0.1836 0.1836
Rh 0.0902 0.6271 0.6271
Rh 0.1836 0.6728 0.1836
Rh 0.6271 0.0902 0.6271


[7]
This record from Alexandria describes a geometry-optimized Ce2Th2Si4Rh structure. The functional is GGA-PBE.

The space group is I4/mmm, No. 139.

Lattice parameters (Å, degrees): 6.4424 6.4424 6.4424 102.10 113.28 113.28
Positions (direct):
Ce 0.0000 0.6721 0.6721
Ce 0.0000 0.3279 0.3279
Th 0.5000 0.7500 0.2500
Th 0.5000 0.2500 0.7500
Si 0.0000 0.7594 0.2406
Si 0.5188 0.7594 0.7594
Si 0.0000 0.2406 0.7594
Si 0.4812 0.2406 0.2406
Rh 0.0000 0.0000 0.0000


[8]
This record from Alexandria describes a geometry-optimized CeThSi2Rh5 structure. The functional is GGA-PBE.

The space group is P4/mmm, No. 123.

Lattice parameters (Å, degrees): 4.0266 4.0266 11.1321 90.00 90.00 90.00
Positions (direct):
Ce 0.0000 0.0000 0.5000
Th 0.0000 0.0000 0.0000
Si 0.5000 0.5000 0.2907
Si 0.5000 0.5000 0.7093
Rh 0.0000 0.5000 0.1845
Rh 0.5000 0.0000 0.1845
Rh 0.0000 0.5000 0.8155
Rh 0.5000 0.0000 0.8155
Rh 0.5000 0.5000 0.5000


[9]
This record from Alexandria describes a geometry-optimized CeTiSi2Rh5 structure. The functional is GGA-PBE.

The space group is P4/mmm, No. 123.

Lattice parameters (Å, degrees): 4.0715 4.0715 9.9709 90.00 90.00 90.00
Positions (direct):
Ce 0.0000 0.0000 0.5000
Ti 0.0000 0.0000 0.0000
Si 0.5000 0.5000 0.2675
Si 0.5000 0.5000 0.7325
Rh 0.0000 0.5000 0.1544
Rh 0.5000 0.0000 0.1544
Rh 0.0000 0.5000 0.8456
Rh 0.5000 0.0000 0.8456
Rh 0.5000 0.5000 0.5000


[10]
This record from Alexandria describes a geometry-optimized Ce2TmSi3Rh4 structure. The functional is GGA-PBE.

The space group is P-4m2, No. 115.

Lattice parameters (Å, degrees): 4.1109 4.1109 10.9195 90.00 90.00 90.00
Positions (direct):
Ce 0.5000 0.0000 0.2342
Ce 0.0000 0.5000 0.7658
Tm 0.5000 0.5000 0.5000
Si 0.0000 0.0000 0.5000
Si 0.5000 0.0000 0.8822
Si 0.0000 0.5000 0.1178
Rh 0.5000 0.5000 0.0000
Rh 0.0000 0.0000 0.0000
Rh 0.5000 0.0000 0.6621
Rh 0.0000 0.5000 0.3379


[11]
This record from Alexandria describes a geometry-optimized Ce2Y2Si4Rh structure. The functional is GGA-PBE.

The space group is I4/mmm, No. 139.

Lattice parameters (Å, degrees): 6.4075 6.4075 6.4075 102.89 112.86 112.86
Positions (direct):
Ce 0.0000 0.6712 0.6712
Ce 0.0000 0.3288 0.3288
Y 0.5000 0.7500 0.2500
Y 0.5000 0.2500 0.7500
Si 0.0000 0.7593 0.2407
Si 0.5187 0.7593 0.7593
Si 0.0000 0.2407 0.7593
Si 0.4813 0.2407 0.2407
Rh 0.0000 0.0000 0.0000


[12]
This record from Alexandria describes a geometry-optimized Ce2ZnSi4Rh3 structure. The functional is GGA-PBE.

The space group is P-4m2, No. 115.

Lattice parameters (Å, degrees): 4.1565 4.1565 9.9749 90.00 90.00 90.00
Positions (direct):
Ce 0.5000 0.0000 0.2457
Ce 0.0000 0.5000 0.7543
Zn 0.5000 0.5000 0.5000
Si 0.5000 0.5000 0.0000
Si 0.0000 0.0000 0.0000
Si 0.5000 0.0000 0.6379
Si 0.0000 0.5000 0.3621
Rh 0.0000 0.0000 0.5000
Rh 0.5000 0.0000 0.8772
Rh 0.0000 0.5000 0.1228


no.,ΔE_f (raw) (eV per atom)
1,-0.50
2,-0.78
3,-0.55
4,-0.60
5,-0.92
6,-0.52
7,-0.42
8,-0.72
9,-0.62
10,-0.97
11,-0.43
12,-0.89